Entry 1:
ErTl2SnS4: relaxed, PBE.

Properties
Uncorrected formation energy   -0.9169 eV per atom

Structure (CIF):
```
data_ErTl2SnS4
_chemical_formula_sum 'Er1 Tl2 Sn1 S4'
_cell_length_a 7.010
_cell_length_b 3.947
_cell_length_c 7.832
_cell_angle_alpha 90.00
_cell_angle_beta 106.79
_cell_angle_gamma 90.00
_symmetry_space_group_name_H-M 'P 1'
_symmetry_Int_Tables_number 1
loop_
_symmetry_equiv_pos_as_xyz
'x,y,z'
loop_
_atom_site_label
_atom_site_type_symbol
_atom_site_fract_x
_atom_site_fract_y
_atom_site_fract_z
Er1 Er 0.000 0.000 0.000
Tl1 Tl 0.000 0.500 0.500
Tl2 Tl 0.500 0.000 0.500
Sn1 Sn 0.500 0.500 0.000
S1 S 0.231 0.500 0.196
S2 S 0.264 0.000 0.800
S3 S 0.736 0.000 0.200
S4 S 0.769 0.500 0.804
```



Entry 2:
Er3Tl3SnS8: relaxed, PBE.

Properties
Uncorrected formation energy   -1.2514 eV per atom

Structure (CIF):
```
data_Er3Tl3SnS8
_chemical_formula_sum 'Er3 Tl3 Sn1 S8'
_cell_length_a 8.895
_cell_length_b 8.895
_cell_length_c 8.895
_cell_angle_alpha 52.54
_cell_angle_beta 52.54
_cell_angle_gamma 52.54
_symmetry_space_group_name_H-M 'P 1'
_symmetry_Int_Tables_number 1
loop_
_symmetry_equiv_pos_as_xyz
'x,y,z'
loop_
_atom_site_label
_atom_site_type_symbol
_atom_site_fract_x
_atom_site_fract_y
_atom_site_fract_z
Er1 Er 0.000 0.500 0.500
Er2 Er 0.500 0.000 0.500
Er3 Er 0.500 0.500 0.000
Tl1 Tl 0.000 0.000 0.500
Tl2 Tl 0.000 0.500 0.000
Tl3 Tl 0.500 0.000 0.000
Sn1 Sn 0.000 0.000 0.000
S1 S 0.224 0.224 0.744
S2 S 0.224 0.744 0.224
S3 S 0.256 0.776 0.776
S4 S 0.269 0.269 0.269
S5 S 0.731 0.731 0.731
S6 S 0.744 0.224 0.224
S7 S 0.776 0.256 0.776
S8 S 0.776 0.776 0.256
```



Entry 3:
Sr4ErS5: relaxed, PBE.

Properties
Uncorrected formation energy   -2.0686 eV per atom

Structure (CIF):
```
data_Sr4ErS5
_chemical_formula_sum 'Sr4 Er1 S5'
_cell_length_a 7.246
_cell_length_b 7.246
_cell_length_c 7.246
_cell_angle_alpha 99.61
_cell_angle_beta 99.61
_cell_angle_gamma 131.77
_symmetry_space_group_name_H-M 'P 1'
_symmetry_Int_Tables_number 1
loop_
_symmetry_equiv_pos_as_xyz
'x,y,z'
loop_
_atom_site_label
_atom_site_type_symbol
_atom_site_fract_x
_atom_site_fract_y
_atom_site_fract_z
Sr1 Sr 0.097 0.300 0.397
Sr2 Sr 0.300 0.903 0.203
Sr3 Sr 0.700 0.097 0.797
Sr4 Sr 0.903 0.700 0.603
Er1 Er 0.500 0.500 0.000
S1 S 0.000 0.000 0.000
S2 S 0.217 0.594 0.811
S3 S 0.406 0.217 0.623
S4 S 0.594 0.783 0.377
S5 S 0.783 0.406 0.189
```



Entry 4:
SrEr5S6: relaxed, PBE.

Properties
Uncorrected formation energy   -1.9522 eV per atom

Structure (CIF):
```
data_SrEr5S6
_chemical_formula_sum 'Sr1 Er5 S6'
_cell_length_a 6.781
_cell_length_b 6.781
_cell_length_c 6.809
_cell_angle_alpha 99.56
_cell_angle_beta 99.56
_cell_angle_gamma 120.06
_symmetry_space_group_name_H-M 'P 1'
_symmetry_Int_Tables_number 1
loop_
_symmetry_equiv_pos_as_xyz
'x,y,z'
loop_
_atom_site_label
_atom_site_type_symbol
_atom_site_fract_x
_atom_site_fract_y
_atom_site_fract_z
Sr1 Sr 0.000 0.000 0.000
Er1 Er 0.162 0.838 0.500
Er2 Er 0.333 0.667 0.000
Er3 Er 0.500 0.500 0.500
Er4 Er 0.667 0.333 0.000
Er5 Er 0.838 0.162 0.500
S1 S 0.086 0.431 0.259
S2 S 0.260 0.260 0.747
S3 S 0.431 0.086 0.259
S4 S 0.569 0.914 0.741
S5 S 0.740 0.740 0.253
S6 S 0.914 0.569 0.741
```